No. 1
First-principles (PBE) data for a relaxed structure of CsLuBi, as listed in the Open Quantum Materials Database.

a = 5.6927 Å, b = 5.6927 Å, c = 5.6927 Å
α = 60.00°, β = 60.00°, γ = 60.00°
Atoms (fractional coordinates):
Cs: 0.0000 0.0000 0.0000
Lu: 0.7500 0.7500 0.7500
Bi: 0.2500 0.2500 0.2500

Summary:
**Total energy**: -7.4 eV per cell
**Space-group type**: No. 216
**Total magnetization**: 0.0 μB per formula unit
**Excess energy over the best structure of this formula in the dataset**: 1.53 eV/f.u.

***

No. 2
First-principles (PBE) data for a relaxed structure of Li4PdPtO6, as listed in the Open Quantum Materials Database.

a = 5.1358 Å, b = 5.1358 Å, c = 5.0754 Å
α = 99.85°, β = 99.85°, γ = 119.86°
Atoms (fractional coordinates):
Li: 0.3392 0.6608 0.5000
Li: 0.6617 0.3383 0.5000
Li: 0.9991 0.0009 0.5000
Li: 0.5000 0.5000 0.0000
O: 0.7626 0.7630 0.7586
O: 0.5805 0.9246 0.2380
O: 0.0754 0.4195 0.7620
O: 0.9242 0.5794 0.2384
O: 0.4206 0.0758 0.7616
O: 0.2370 0.2374 0.2414
Pt: 0.1667 0.8333 0.0000
Pd: 0.8332 0.1668 0.0000

Summary:
**Total energy**: -64.2 eV per cell
**Space-group type**: No. 5
**Total magnetization**: 0.0 μB per formula unit

***

No. 3
First-principles (PBE) data for a relaxed structure of Cu2Bi8Pb6S19, as listed in the Open Quantum Materials Database.

a = 4.0654 Å, b = 14.1788 Å, c = 15.9130 Å
α = 90.49°, β = 97.34°, γ = 81.76°
Atoms (fractional coordinates):
S: 0.3019 0.0214 0.6252
S: 0.0873 0.9865 0.1611
S: 0.3286 0.4102 0.0673
S: 0.1005 0.5249 0.7260
S: 0.2934 0.7475 0.3342
S: 0.9127 0.0135 0.8389
S: 0.8995 0.4751 0.2740
S: 0.2137 0.6887 0.1160
S: 0.4300 0.1335 0.9936
S: 0.5700 0.8665 0.0064
S: 0.6981 0.9786 0.3748
S: 0.6714 0.5898 0.9327
S: 0.5062 0.2101 0.2225
S: 0.8896 0.7680 0.5473
S: 0.1104 0.2320 0.4527
S: 0.7863 0.3113 0.8840
S: 0.5000 0.5000 0.5000
S: 0.4938 0.7899 0.7775
S: 0.7066 0.2525 0.6658
Pb: 0.6900 0.8411 0.2211
Pb: 0.4905 0.3640 0.3450
Pb: 0.5095 0.6360 0.6550
Pb: 0.8992 0.6103 0.4088
Pb: 0.1008 0.3897 0.5912
Pb: 0.3100 0.1589 0.7789
Bi: 0.2979 0.8660 0.4619
Bi: 0.2201 0.4544 0.8947
Bi: 0.8978 0.2474 0.0430
Bi: 0.7021 0.1340 0.5381
Bi: 0.0938 0.1044 0.2920
Bi: 0.1022 0.7526 0.9570
Bi: 0.9062 0.8956 0.7080
Bi: 0.7799 0.5456 0.1053
Cu: 0.4604 0.9898 0.9107
Cu: 0.5396 0.0102 0.0893

Summary:
**Total energy**: -154.4 eV per cell
**Space-group type**: No. 12

***

No. 4
First-principles (PBE) data for a relaxed structure of ScPdCO, as listed in the Open Quantum Materials Database.

a = 11.3060 Å, b = 11.3060 Å, c = 11.3060 Å
α = 16.27°, β = 16.27°, γ = 16.27°
Atoms (fractional coordinates):
Sc: 0.5000 0.5000 0.5000
Sc: 0.0000 0.0000 0.0000
O: 0.8023 0.8023 0.8023
O: 0.1977 0.1977 0.1977
Pd: 0.7368 0.7368 0.7368
Pd: 0.2632 0.2632 0.2632
C: 0.6237 0.6237 0.6237
C: 0.3763 0.3763 0.3763

Summary:
**Total energy**: -59.5 eV per cell
**Space-group type**: No. 166
**Total magnetization**: 0.0 μB per formula unit

***

No. 5
First-principles (PBE) data for a relaxed structure of BaUHg, as listed in the Open Quantum Materials Database.

a = 5.3198 Å, b = 5.3198 Å, c = 5.3198 Å
α = 60.00°, β = 60.00°, γ = 60.00°
Atoms (fractional coordinates):
Ba: 0.2500 0.2500 0.2500
Hg: 0.7500 0.7500 0.7500
U: 0.0000 0.0000 0.0000

Summary:
**Total energy**: -10.6 eV per cell
**Space-group type**: No. 216
**Total magnetization**: 3.2 μB per formula unit
**Excess energy over the best structure of this formula in the dataset**: 0.00 eV/f.u.

***

No. 6
First-principles (PBE) data for a relaxed structure of NpSi, as listed in the Open Quantum Materials Database.

a = 4.5110 Å, b = 4.5110 Å, c = 4.5110 Å
α = 60.00°, β = 60.00°, γ = 60.00°
Site moments in Bohr magnetons follow the coordinates.
Atoms (fractional coordinates):
Np: 0.0000 0.0000 0.0000  3.59
Si: 0.2500 0.2500 0.2500  -0.08

Summary:
**Total energy**: -16.1 eV per cell
**Space-group type**: No. 216
**Total magnetization**: 3.6 μB per formula unit

***

No. 7
First-principles (PBE) data for a relaxed structure of NaIrPt, as listed in the Open Quantum Materials Database.

a = 4.2395 Å, b = 4.2395 Å, c = 4.2395 Å
α = 60.00°, β = 60.00°, γ = 60.00°
Atoms (fractional coordinates):
Pt: 0.7500 0.7500 0.7500
Na: 0.0000 0.0000 0.0000
Ir: 0.2500 0.2500 0.2500

Summary:
**Total energy**: -12.3 eV per cell
**Space-group type**: No. 216
**Total magnetization**: 0.5 μB per formula unit
**Excess energy over the best structure of this formula in the dataset**: 1.92 eV/f.u.

***

No. 8
First-principles (PBE) data for a relaxed structure of Cs2TcO4, as listed in the Open Quantum Materials Database.

a = 6.5455 Å, b = 6.5455 Å, c = 6.5541 Å
α = 117.22°, β = 117.22°, γ = 94.81°
Site moments in Bohr magnetons follow the coordinates.
Atoms (fractional coordinates):
O: 0.7388 0.7388 0.6787  0.06
O: 0.2618 0.9399 0.0000  0.06
O: 0.9399 0.2618 0.0000  0.06
O: 0.0600 0.0600 0.3212  0.06
Cs: 0.7495 0.2496 0.5000  0.00
Cs: 0.2496 0.7495 0.5000  0.00
Tc: 0.0000 0.0000 0.9999  0.61

Summary:
**Total energy**: -43.4 eV per cell
**Space-group type**: No. 42
**Total magnetization**: 1.0 μB per formula unit